Compound: PrLu2Tc
Source: the Alexandria database
Functional: GGA-PBE
Structure: relaxed

Lattice parameters (Å, degrees): 3.4107 3.4107 9.0460 90.00 90.00 90.00
Atoms (fractional coordinates):
Pr 0.0000 0.0000 0.0000
Lu 0.5000 0.5000 0.3219
Lu 0.5000 0.5000 0.6781
Tc 0.0000 0.0000 0.5000

Results
DFT total energy: -0.4486 Ry per atom
space-group type: P4/mmm, No. 123
E above lowest polymorph: 0 meV/atom
calculated volume: 26.31 A^3/atom
formation energy: -56 meV per atom